1.
Computed, not measured: a relaxed structure of CuReIr2 at the PBE-GGA level of DFT.

abc: 6.1530 6.1530 6.1530
angles: 121.39 121.39 87.60
With the nearest neighbours (Å) after each atom.
Element x y z (fractional)
1 Cu 0.0000 0.0000 0.0000  4 Ir 2.43
2 Cu 0.7500 0.2500 0.5000  4 Ir 2.43
3 Re 0.2500 0.7500 0.5000  4 Ir 2.38
4 Re 0.5000 0.5000 0.0000  4 Ir 2.38
5 Ir 0.1320 0.6250 0.0070  2 Re 2.38, 2 Cu 2.43
6 Ir 0.3750 0.3820 0.5070  2 Re 2.38, 2 Cu 2.43
7 Ir 0.6180 0.1250 0.9930  2 Re 2.38, 2 Cu 2.43
8 Ir 0.8750 0.8680 0.4930  2 Re 2.38, 2 Cu 2.43

- M_tot: 0.0000 μB/atom
- Density of states at the Fermi level: 2.1 states/eV/cell
- E_form: 1049 meV/atom
- Space group: I-42d
- Offset from the most stable computed form: 1.143 eV per atom

2.
Computed, not measured: a relaxed structure of Cu2ReIr at the PBE-GGA level of DFT.

abc: 8.6373 8.6373 8.6373
angles: 18.24 18.24 18.24
With the nearest neighbours (Å) after each atom.
Element x y z (fractional)
1 Cu 0.0000 0.0000 0.0000  9 Cu 2.53-2.74, 3 Ir 2.70
2 Cu 0.2556 0.2556 0.2556  9 Cu 2.53-2.74, 3 Re 2.71
3 Re 0.5024 0.5024 0.5024  3 Ir 2.64, 3 Cu 2.71, 6 Re 2.74
4 Ir 0.7528 0.7528 0.7528  3 Re 2.64, 3 Cu 2.70, 6 Ir 2.74

- M_tot: 0.0000 μB/atom
- Density of states at the Fermi level: 3.9 states/eV/cell
- E_form: 97 meV/atom
- Space group: R3m
- Offset from the most stable computed form: 0.033 eV per atom

3.
Computed, not measured: a relaxed structure of Cu2ReIr at the PBE-GGA level of DFT.

abc: 2.6417 2.6417 8.9231
angles: 90.00 90.00 117.22
With the nearest neighbours (Å) after each atom.
Element x y z (fractional)
1 Cu 0.0000 0.0000 0.2491  2 Ir 2.61, 2 Re 2.63, 6 Cu 2.64-2.75
2 Cu 0.0000 0.0000 0.7509  2 Ir 2.61, 2 Re 2.63, 6 Cu 2.64-2.75
3 Re 0.5000 0.5000 0.5000  4 Cu 2.63, 6 Re 2.64-2.75
4 Ir 0.5000 0.5000 0.0000  4 Cu 2.61, 6 Ir 2.64-2.75

- M_tot: 0.0000 μB/atom
- Density of states at the Fermi level: 3.0 states/eV/cell
- E_form: 297 meV/atom
- Space group: Cmmm
- Offset from the most stable computed form: 0.233 eV per atom

4.
Computed, not measured: a relaxed structure of CuReIr2 at the PBE-GGA level of DFT.

abc: 5.2054 5.2054 5.2054
angles: 148.37 129.41 60.90
With the nearest neighbours (Å) after each atom.
Element x y z (fractional)
1 Cu 0.0000 0.0000 0.0000  6 Ir 2.54-2.64, 2 Re 2.55, 2 Cu 2.84
2 Re 0.7644 0.2644 0.5000  2 Cu 2.55, 6 Ir 2.65-2.70, 2 Re 2.84
3 Ir 0.2346 0.7346 0.5000  2 Cu 2.54, 4 Re 2.65, 4 Ir 2.84
4 Ir 0.5088 0.5088 0.0000  4 Cu 2.64, 2 Re 2.70, 4 Ir 2.84

- M_tot: 0.0000 μB/atom
- Density of states at the Fermi level: 3.3 states/eV/cell
- E_form: 244 meV/atom
- Space group: Imm2
- Offset from the most stable computed form: 0.338 eV per atom